ThTlCdPb (PBE, optimized geometry); raw total energy = -3.816 eV per atom; energy of formation = -0.2138 eV/atom; M_tot = 0.0 μB/cell
1.0
4.652 0.000 0.000
0.000 4.931 0.000
0.000 0.000 4.827
Cd Pb Th Tl
1 1 1 1
direct
0.000 0.000 0.000
0.500 0.500 0.000
0.000 0.500 0.500
0.500 0.000 0.500



Er5Se2S5 (PBE, optimized geometry); raw total energy = -6.186 eV per atom; E_form (uncorrected) = -1984.1 meV per atom; M_tot = 0.0 μB/cell
1.0
-0.220 3.781 0.167
-6.132 -2.188 -1.590
0.016 -0.518 11.758
Er S Se
5 5 2
direct
0.115 0.230 0.429
0.710 0.420 0.816
0.290 0.580 0.184
0.885 0.770 0.571
0.000 0.000 0.000
0.262 0.524 0.647
0.657 0.315 0.050
0.500 0.000 0.500
0.343 0.685 0.950
0.738 0.476 0.353
0.041 0.083 0.781
0.959 0.917 0.219



ThSc2Hg2 (PBE, optimized geometry); raw total energy = -4.196 eV per atom; energy of formation = -0.0591 eV/atom; M_tot = 0.0 μB/cell
1.0
4.994 0.000 0.000
-2.497 4.325 0.000
0.000 0.000 6.369
Hg Th Sc
2 1 2
direct
0.333 0.667 0.216
0.667 0.333 0.784
0.000 0.000 0.000
0.667 0.333 0.337
0.333 0.667 0.663



Nd8Os3PdBr4 (PBE, optimized geometry); raw total energy = -6.004 eV per atom; E_form (uncorrected) = -771.6 meV per atom; M_tot = 0.0 μB/cell
1.0
8.282 0.000 0.000
0.000 9.173 0.621
-4.141 -4.139 5.861
Br Nd Os Pd
4 8 3 1
direct
0.000 0.000 0.000
0.000 0.000 0.500
0.500 0.000 0.500
0.500 0.000 0.000
0.761 0.302 0.042
0.761 0.302 0.522
0.239 0.698 0.958
0.239 0.698 0.478
0.719 0.698 0.958
0.281 0.302 0.042
0.267 0.301 0.534
0.733 0.699 0.466
0.000 0.500 0.500
0.500 0.500 0.000
0.500 0.500 0.500
0.000 0.500 0.000



Sc2TiSb (PBE, optimized geometry); raw total energy = -6.566 eV per atom; E_form (uncorrected) = -395.7 meV per atom; M_tot = 2.8 μB/cell
1.0
-2.989 2.458 1.299
0.334 -1.803 4.181
3.091 3.168 1.119
Sb Sc Ti
1 2 1
direct
0.500 0.500 0.500
0.000 0.500 0.000
0.000 0.000 0.500
0.500 0.000 0.000



Be2NbAu2 (PBE, optimized geometry); raw total energy = -4.719 eV per atom; energy of formation = 0.0962 eV/atom; M_tot = 0.0 μB/cell; distance to the lowest polymorph of the same formula = 157.9 meV/atom
1.0
3.552 0.000 0.000
0.000 3.552 0.000
1.776 1.776 5.969
Nb Be Au
1 2 2
direct
0.000 0.000 0.000
0.250 0.750 0.500
0.750 0.250 0.500
0.619 0.619 0.762
0.381 0.381 0.238



Question: What is the M_tot in the first record?
Answer: 0.0 μB/cell



Question: Which value of M_tot does entry 6 give?
Answer: 0.0 μB/cell



Question: Which of these has the lowest raw total energy?
Answer: Sc2TiSb